(1)
Below is a relaxed structure of Sm2EuTc, with properties calculated at the PBE level.

Computed properties:
Energy of formation, eV per atom: 0.32
Magnetization, Bohr magnetons per cell: 7.59
Final energy, eV per atom: -7.204
E above lowest polymorph, meV/atom: 246

The structure in POSCAR format:
```
Sm2EuTc
1.0
3.5721 0.0000 0.0000
1.7861 3.0936 0.0000
1.7861 1.0312 11.0256
Sm Eu Tc
2 1 1
Direct
0.1062 0.1062 0.6814 Sm
0.8938 0.8938 0.3186 Sm
0.0000 0.0000 0.0000 Eu
0.5000 0.5000 0.5000 Tc
```

=====

(2)
Below is a relaxed structure of Al17Cu12, with properties calculated at the PBE level.

Computed properties:
Energy of formation, eV per atom: -0.10
Magnetization, Bohr magnetons per cell: 0.00
Final energy, eV per atom: -3.988

The structure in POSCAR format:
```
Al17Cu12
1.0
8.1178 0.0000 0.0000
-2.7059 7.6535 0.0000
-2.7059 -3.8268 6.6282
Al Cu
17 12
Direct
0.0000 0.3114 0.5922 Al
0.0000 0.3348 0.0000 Al
0.4078 0.4078 0.7192 Al
0.6886 0.6886 0.2808 Al
0.5922 0.3114 0.0000 Al
0.3114 0.0000 0.5922 Al
0.0000 0.5922 0.3114 Al
0.6652 0.6652 0.6652 Al
0.3348 0.0000 0.0000 Al
0.0000 0.0000 0.0000 Al
0.6886 0.2808 0.6886 Al
0.2808 0.6886 0.6886 Al
0.4078 0.7192 0.4078 Al
0.7192 0.4078 0.4078 Al
0.0000 0.0000 0.3348 Al
0.5922 0.0000 0.3114 Al
0.3114 0.5922 0.0000 Al
0.1927 0.8121 0.1927 Cu
0.6194 0.0000 0.8073 Cu
0.0000 0.6194 0.8073 Cu
0.6194 0.8073 0.0000 Cu
0.8073 0.6194 0.0000 Cu
0.3806 0.1879 0.3806 Cu
0.0000 0.8073 0.6194 Cu
0.8073 0.0000 0.6194 Cu
0.1879 0.3806 0.3806 Cu
0.8121 0.1927 0.1927 Cu
0.1927 0.1927 0.8121 Cu
0.3806 0.3806 0.1879 Cu
```

=====

(3)
Below is a relaxed structure of HfMgGaRu, with properties calculated at the PBE level.

Computed properties:
Energy of formation, eV per atom: -0.32
Magnetization, Bohr magnetons per cell: 0.00
Final energy, eV per atom: -6.281

The structure in POSCAR format:
```
HfMgGaRu
1.0
4.5761 0.0000 0.0000
2.2881 3.9630 0.0000
2.2881 1.3210 3.7364
Hf Mg Ru Ga
1 1 1 1
Direct
0.5000 0.5000 0.5000 Hf
0.0000 0.0000 0.0000 Mg
0.2500 0.2500 0.2500 Ru
0.7500 0.7500 0.7500 Ga
```

=====

(4)
Below is a relaxed structure of Al2SbRu, with properties calculated at the PBE level.

Computed properties:
Magnetization, Bohr magnetons per cell: 0.00
Final energy, eV per atom: -5.194

The structure in POSCAR format:
```
Al2SbRu
1.0
-1.2998 -4.3517 1.5241
-0.7285 0.5641 -4.7012
2.9410 -1.0836 -0.5858
Ru Al Sb
1 2 1
Direct
0.5000 0.0000 0.5000 Ru
0.5000 0.5000 0.0000 Al
0.0000 0.0000 0.0000 Al
0.0000 0.5000 0.5000 Sb
```

=====

(5)
Below is a relaxed structure of TiPt2Cl, with properties calculated at the PBE level.

Computed properties:
Magnetization, Bohr magnetons per cell: 0.00
Final energy, eV per atom: -5.436
E above lowest polymorph, meV/atom: 0

The structure in POSCAR format:
```
TiPt2Cl
1.0
-1.1204 -0.3542 4.3945
-4.1007 1.3651 1.4188
-3.0879 -3.0685 1.3197
Ti Pt Cl
1 2 1
Direct
0.5000 0.5000 0.5000 Ti
0.7500 0.7500 0.7500 Pt
0.2500 0.2500 0.2500 Pt
0.0000 0.0000 0.0000 Cl
```

=====

(6)
Below is a relaxed structure of ZnNiP4, with properties calculated at the PBE level.

Computed properties:
Energy of formation, eV per atom: 0.65
Magnetization, Bohr magnetons per cell: 0.00
Final energy, eV per atom: -4.132

The structure in POSCAR format:
```
ZnNiP4
1.0
0.0000 3.5307 3.5307
3.5307 0.0000 3.5307
3.5307 3.5307 0.0000
P Ni Zn
4 1 1
Direct
0.3740 0.3740 0.3740 P
0.8781 0.3740 0.3740 P
0.3740 0.8781 0.3740 P
0.3740 0.3740 0.8781 P
0.0000 0.0000 0.0000 Ni
0.7500 0.7500 0.7500 Zn
```

=====

(7)
Below is a relaxed structure of BTe2MoN, with properties calculated at the PBE level.

Computed properties:
Magnetization, Bohr magnetons per cell: 0.00
Final energy, eV per atom: -5.358
E above lowest polymorph, meV/atom: 413

The structure in POSCAR format:
```
BTe2MoN
1.0
-4.6433 -0.6452 2.6713
1.6659 -4.8321 1.7286
1.5306 1.6194 3.0516
Mo N B Te
1 1 1 2
Direct
0.0000 0.0000 0.0000 Mo
0.0000 0.0000 0.5000 N
0.5000 0.5000 0.5000 B
0.0000 0.5000 0.0000 Te
0.5000 0.0000 0.0000 Te
```

=====

(8)
Below is a relaxed structure of Sr2TlCd2, with properties calculated at the PBE level.

Computed properties:
Energy of formation, eV per atom: -0.30
Magnetization, Bohr magnetons per cell: 0.00
Final energy, eV per atom: -1.811
E above lowest polymorph, meV/atom: 30

The structure in POSCAR format:
```
Sr2TlCd2
1.0
-3.4071 -3.6076 -1.8321
6.2838 -1.1356 -1.8138
-1.6355 -3.5534 10.0386
Cd Tl Sr
4 2 4
Direct
0.9916 0.9833 0.1398 Cd
0.8948 0.7896 0.3749 Cd
0.1052 0.2104 0.6251 Cd
0.0084 0.0167 0.8602 Cd
0.2675 0.5349 0.2677 Tl
0.7325 0.4651 0.7323 Tl
0.6717 0.3434 0.0544 Sr
0.4032 0.8064 0.6168 Sr
0.3283 0.6566 0.9456 Sr
0.5968 0.1936 0.3832 Sr
```

=====

(9)
Below is a relaxed structure of NaPu4Bi5, with properties calculated at the PBE level.

Computed properties:
Energy of formation, eV per atom: -0.34
Magnetization, Bohr magnetons per cell: 0.32
Final energy, eV per atom: -8.150

The structure in POSCAR format:
```
NaPu4Bi5
1.0
-2.0469 2.3049 1.7687
0.1741 -2.0624 2.8891
18.7518 11.3198 6.9505
Bi Na Pu
5 1 4
Direct
0.5000 0.5000 0.3036 Bi
0.5000 0.5000 0.5000 Bi
0.5000 0.5000 0.6964 Bi
0.5000 0.5000 0.1041 Bi
0.5000 0.5000 0.8959 Bi
0.0000 0.0000 0.0000 Na
0.0000 0.0000 0.7954 Pu
0.0000 0.0000 0.2046 Pu
0.0000 0.0000 0.5979 Pu
0.0000 0.0000 0.4021 Pu
```

=====

(10)
Below is a relaxed structure of SmErZnHg, with properties calculated at the PBE level.

Computed properties:
Energy of formation, eV per atom: -0.38
Magnetization, Bohr magnetons per cell: 0.46
Final energy, eV per atom: -3.097
E above lowest polymorph, meV/atom: 25

The structure in POSCAR format:
```
SmErZnHg
1.0
-1.3083 2.9699 4.0656
-3.6981 -1.5863 3.2968
1.2746 -1.4820 4.8208
Sm Zn Er Hg
1 1 1 1
Direct
0.7500 0.7500 0.7500 Sm
0.0000 0.0000 0.0000 Zn
0.2500 0.2500 0.2500 Er
0.5000 0.5000 0.5000 Hg
```

=====

(11)
Below is a relaxed structure of MnP2Ru, with properties calculated at the PBE level.

Computed properties:
Energy of formation, eV per atom: -0.08
Magnetization, Bohr magnetons per cell: 2.04
Final energy, eV per atom: -7.394
E above lowest polymorph, meV/atom: 333

The structure in POSCAR format:
```
MnP2Ru
1.0
7.3301 -0.0427 -0.0253
6.7531 2.8510 -0.0253
6.7531 1.3466 2.5131
P Ru Mn
2 1 1
Direct
0.0034 0.0034 0.0034 P
0.2485 0.2485 0.2485 P
0.5078 0.5078 0.5078 Ru
0.7403 0.7403 0.7403 Mn
```

=====

(12)
Below is a relaxed structure of PuPH, with properties calculated at the PBE level.

Computed properties:
Magnetization, Bohr magnetons per cell: 8.00
Final energy, eV per atom: -8.428
E above lowest polymorph, meV/atom: 0

The structure in POSCAR format:
```
PuPH
1.0
-0.5691 -3.2709 1.8366
2.4226 0.1418 -2.9167
5.2398 1.5750 4.4287
Pu H P
2 2 2
Direct
0.6667 0.8333 0.2500 Pu
0.3333 0.1667 0.7500 Pu
0.6666 0.8334 0.7500 H
0.3334 0.1666 0.2500 H
0.0000 0.5000 0.5000 P
0.0000 0.5000 0.0000 P
```

=====

(13)
Below is a relaxed structure of NpU3Ge, with properties calculated at the PBE level.

Computed properties:
Energy of formation, eV per atom: 0.05
Magnetization, Bohr magnetons per cell: 0.00
Final energy, eV per atom: -10.238

The structure in POSCAR format:
```
NpU3Ge
1.0
5.0152 0.3775 -1.9154
-0.1574 5.0269 -1.9154
-0.9910 -1.1025 4.6937
U Np Ge
3 1 1
Direct
0.7208 0.2904 0.5241 U
0.3333 0.3333 0.9122 U
0.2904 0.7208 0.5241 U
0.7069 0.7069 0.1414 Np
0.0104 0.0104 0.0221 Ge
```

=====

(14)
Below is a relaxed structure of Sb2RhAu, with properties calculated at the PBE level.

Computed properties:
Magnetization, Bohr magnetons per cell: 0.00
Final energy, eV per atom: -4.758

The structure in POSCAR format:
```
Sb2RhAu
1.0
-1.5245 -2.5374 -1.5147
1.5078 -2.4516 2.5892
-5.5232 0.8935 4.0625
Rh Sb Au
1 2 1
Direct
0.5000 0.5000 0.7408 Rh
0.5000 0.5000 0.3365 Sb
0.0000 0.0000 0.9110 Sb
0.0000 0.0000 0.5117 Au
```

=====

(15)
Below is a relaxed structure of Ba2PmUO6, with properties calculated at the PBE level.

Computed properties:
Magnetization, Bohr magnetons per cell: 1.00
Final energy, eV per atom: -8.122

The structure in POSCAR format:
```
Ba2PmUO6
1.0
-3.6945 4.5483 2.3670
-5.0097 -2.5803 -2.8612
-5.1247 -1.5255 3.3688
Pm O U Ba
1 6 1 2
Direct
0.0000 0.0000 0.0000 Pm
0.7408 0.7408 0.0001 O
0.7409 0.7408 0.5183 O
0.7409 0.2592 0.9999 O
0.2591 0.7408 0.0001 O
0.2592 0.2592 0.9999 O
0.2591 0.2592 0.4817 O
0.5000 0.5000 0.0000 U
0.2500 0.7499 0.5001 Ba
0.7500 0.2501 0.4999 Ba
```

=====

(16)
Below is a relaxed structure of LiMgSO4F, with properties calculated at the PBE level.

Computed properties:
Magnetization, Bohr magnetons per cell: 0.00
Final energy, eV per atom: -5.894
E above lowest polymorph, meV/atom: 0

The structure in POSCAR format:
```
LiMgSO4F
1.0
5.2330 0.0336 0.0015
-0.6610 5.4255 -0.0222
-2.1833 -2.4149 6.4745
O Mg F S Li
8 2 2 2 2
Direct
0.3169 0.3471 0.1367 O
0.2660 0.7593 0.0801 O
0.7314 0.2382 0.9105 O
0.8716 0.3368 0.6446 O
0.1259 0.6608 0.3461 O
0.6801 0.6503 0.8538 O
0.3834 0.2520 0.6025 O
0.6140 0.7452 0.3878 O
0.9985 0.9987 0.9955 Mg
0.9986 0.9987 0.4955 Mg
0.0983 0.9075 0.7465 F
0.8985 0.0900 0.2443 F
0.6683 0.3662 0.7518 S
0.3290 0.6312 0.2388 S
0.7410 0.3780 0.2198 Li
0.2565 0.6199 0.7709 Li
```

=====

(17)
Below is a relaxed structure of H3BrCl, with properties calculated at the PBE level.

Computed properties:
Magnetization, Bohr magnetons per cell: 0.00
Final energy, eV per atom: -2.093
E above lowest polymorph, meV/atom: 0

The structure in POSCAR format:
```
H3BrCl
1.0
-1.5051 -3.4312 0.3972
2.1714 -0.6029 3.0195
-2.6862 1.4351 2.2182
H Br Cl
3 1 1
Direct
0.5000 0.0000 0.0000 H
0.0000 0.5000 0.0000 H
0.0000 0.0000 0.5000 H
0.0000 0.0000 0.0000 Br
0.5000 0.5000 0.5000 Cl
```

=====

(18)
Below is a relaxed structure of ScGe3Pd, with properties calculated at the PBE level.

Computed properties:
Energy of formation, eV per atom: 0.21
Magnetization, Bohr magnetons per cell: 0.00
Final energy, eV per atom: -4.869

The structure in POSCAR format:
```
ScGe3Pd
1.0
4.8459 0.0000 0.0000
0.0000 4.8459 0.0000
0.0000 0.0000 4.8459
Pd Ge Sc
1 3 1
Direct
0.0000 0.0000 0.0000 Pd
0.5000 0.0000 0.0000 Ge
0.0000 0.0000 0.5000 Ge
0.0000 0.5000 0.0000 Ge
0.5000 0.5000 0.5000 Sc
```